Record 1
Entry from the Alexandria database: a relaxed Pm4CdHg2Ir crystal (PBE).

Lattice parameters (Å, degrees): 5.3032 5.3032 25.7800 90.00 90.00 120.00
Space group R-3m (No. 166, hexagonal axes)
Unique sites:
Pm 0.0000 0.0000 0.1125 x6
Pm 0.0000 0.0000 0.3672 x6
Cd 0.0000 0.0000 0.5000 x3
Hg 0.0000 0.0000 0.2372 x6
Ir 0.0000 0.0000 0.0000 x3

Record 2
Entry from the Alexandria database: a relaxed LiCoAg2 crystal (PBE).

Lattice parameters (Å, degrees): 2.724 3.894 5.722 90.00 90.69 90.00
Space group P2/m (No. 10)
Unique sites:
Li 0.000 0.000 0.000 x1
Co 0.000 0.000 0.500 x1
Ag 0.498 0.500 0.254 x2

Record 3
Entry from the Alexandria database: a relaxed TaSbN3 crystal (PBE).

Values from the calculation:
Uncorrected formation energy in eV/f.u.: 6.671

Lattice parameters (Å, degrees): 3.946 3.946 3.946 90.00 90.00 90.00
Space group Pm-3m (No. 221)
Unique sites:
Ta 0.000 0.000 0.000 x1
Sb 0.500 0.500 0.500 x1
N 0.000 0.500 0.500 x3

Record 4
Entry from the Alexandria database: a relaxed Nb4RuW crystal (PBE).

Values from the calculation:
Polymorph energy (0 for the lowest one) in eV per atom: 0.623

Lattice parameters (Å, degrees): 6.194 6.194 6.295 90.00 90.08 90.00
Space group C2/m (No. 12)
Unique sites:
Nb 0.250 0.250 0.248 x8
Ru 0.000 0.000 0.000 x2
W 0.000 0.500 0.500 x2

Number 1: raw total energy -100.3 eV for the cell shown. Number 2: raw total energy -14.0 eV for the cell shown. Number 3: raw total energy -34.3 eV for the cell shown. Number 4: raw total energy -119.5 eV for the cell shown.